## Cr2SbCl (PBE)

Data for an optimized crystal structure of Cr2SbCl.

Summary:
Polymorph energy (0 for the lowest one), eV/atom: 0.309
Formation energy (no corrections), eV/atom: 0.272

a b c (Å): 6.818 6.818 6.818
angles (deg): 90.00 90.00 90.00
Space group Fm-3m (No. 225)
Inequivalent atoms, fractional coordinates:
Cr: 0.250 0.250 0.250 [8 per cell]
Sb: 0.000 0.000 0.000 [4 per cell]
Cl: 0.000 0.000 0.500 [4 per cell]

***

## AgSb2Br (PBE)

Data for an optimized crystal structure of AgSb2Br.

Summary:
Polymorph energy (0 for the lowest one), eV/atom: 0.192
Formation energy (no corrections), eV/atom: 0.067

a b c (Å): 3.817 3.942 16.453
angles (deg): 90.00 90.00 90.00
Space group Immm (No. 71)
Inequivalent atoms, fractional coordinates:
Ag: 0.000 0.000 0.000 [2 per cell]
Sb: 0.000 0.500 0.292 [4 per cell]
Br: 0.000 0.000 0.500 [2 per cell]

***

## Tc2Sb6Os (PBE)

Data for an optimized crystal structure of Tc2Sb6Os.

Summary:
Formation energy (no corrections), eV/atom: 0.134

a b c (Å): 6.6512 6.6512 5.7708
angles (deg): 90.00 90.00 120.00
Space group P-31m (No. 162)
Inequivalent atoms, fractional coordinates:
Tc: 0.3333 0.6667 0.0000 [2 per cell]
Sb: 0.0000 0.3254 0.2493 [6 per cell]
Os: 0.0000 0.0000 0.5000 [1 per cell]

***

## Sm5In4Ga (PBE)

Data for an optimized crystal structure of Sm5In4Ga.

Summary:
Calculated formation energy, eV per formula unit: -5.042

a b c (Å): 3.753 3.753 19.437
angles (deg): 90.00 90.00 90.00
Space group P4/mmm (No. 123)
Inequivalent atoms, fractional coordinates:
Sm: 0.000 0.000 0.000 [1 per cell]
Sm: 0.000 0.000 0.206 [2 per cell]
Sm: 0.000 0.000 0.409 [2 per cell]
In: 0.500 0.500 0.103 [2 per cell]
In: 0.500 0.500 0.307 [2 per cell]
Ga: 0.500 0.500 0.500 [1 per cell]